Here is a relaxed HgPb2Se crystal from the Alexandria database. Energies are from PBEsol.

Cell: 3.927 4.829 6.121 Å, 99.47 108.71 90.00°
Fractional positions:
Pb  0.252  0.643  0.505
Pb  0.007  0.089  0.013
Se  0.497  0.622  0.995
Hg  0.744  0.146  0.487

Properties
Size of the total moment = 0.00 μB per formula unit
Energy relative to the lowest polymorph listed for this composition = 0.0 meV per atom
Calculated total energy = -3.2695 eV per atom
Formation energy from raw total energies = -0.7 eV per formula unit